DFT (PBE-GGA) results for a relaxed CoTeP2S crystal.

a = 4.290 Å, b = 4.290 Å, c = 4.903 Å
α = 90.00°, β = 90.00°, γ = 90.00°
Fractional coordinates of all 5 atoms:
Co 0.000 0.000 0.000
Te 0.500 0.500 0.500
P 0.000 0.500 0.000
P 0.500 0.000 0.000
S 0.000 0.000 0.500

As for the formation energy (no corrections): 450 meV/atom. Its total DFT energy (no corrections) is -22.946 eV/cell. The offset from the most stable computed form is 0.000 eV/atom. The symmetry is P4/mmm, No. 123.



DFT (PBE-GGA) results for a relaxed CoTeP2S crystal.

a = 5.034 Å, b = 5.034 Å, c = 5.003 Å
α = 90.00°, β = 90.00°, γ = 90.00°
Fractional coordinates of all 5 atoms:
Co 0.000 0.000 0.000
Te 0.500 0.500 0.500
P 0.000 0.500 0.500
P 0.500 0.000 0.500
S 0.500 0.500 0.000

As for the formation energy (no corrections): 1596 meV/atom. Its total DFT energy (no corrections) is -17.217 eV/cell. The offset from the most stable computed form is 1.146 eV/atom. The symmetry is P4/mmm, No. 123.



DFT (PBE-GGA) results for a relaxed CoTePS2 crystal.

a = 5.026 Å, b = 5.026 Å, c = 5.041 Å
α = 90.00°, β = 90.00°, γ = 90.00°
Fractional coordinates of all 5 atoms:
Co 0.000 0.000 0.000
Te 0.500 0.500 0.500
P 0.500 0.500 0.000
S 0.000 0.500 0.500
S 0.500 0.000 0.500

As for the formation energy (no corrections): 1362 meV/atom. Its total DFT energy (no corrections) is -17.104 eV/cell. The offset from the most stable computed form is 0.967 eV/atom. The symmetry is P4/mmm, No. 123.